Record 1
## KCoCu2Cl8 (PBE)

Data for KCoCu2Cl8 after structural relaxation.

Cell: 5.685 5.824 10.782 Å, 68.28 74.30 78.38°
Site moments in Bohr magnetons follow the coordinates.
Atoms (fractional coordinates):
K: 0.000 0.000 0.500  0.00
Co: 0.000 0.000 0.000  0.54
Cu: 0.459 0.504 0.815  0.38
Cu: 0.541 0.496 0.185  0.38
Cl: 0.147 0.692 0.174  0.08
Cl: 0.749 0.750 0.994  0.08
Cl: 0.724 0.109 0.172  0.08
Cl: 0.853 0.308 0.826  0.08
Cl: 0.251 0.250 0.006  0.08
Cl: 0.276 0.891 0.828  0.08
Cl: 0.564 0.663 0.591  0.07
Cl: 0.436 0.337 0.409  0.07

As for the space-group type: No. 2. The uncorrected formation energy comes out at -695.6 meV/atom.

***

Record 2
## CeMgIn2 (PBE)

Data for CeMgIn2 after structural relaxation.

Cell: 4.596 4.726 4.726 Å, 90.00 90.00 90.00°
Site moments in Bohr magnetons follow the coordinates.
Atoms (fractional coordinates):
Mg: 0.500 0.000 0.000  0.01
Ce: 0.500 0.500 0.500  0.72
In: 0.000 0.000 0.500  0.01
In: 0.000 0.500 0.000  0.01

As for the space-group type: No. 123. The formation energy is -326.4 meV per atom.

***

Record 3
## LaTb2Tm3 (PBE)

Data for LaTb2Tm3 after structural relaxation.

Cell: 3.496 9.029 12.933 Å, 78.23 82.23 78.84°
Atoms (fractional coordinates):
La: 0.439 0.474 0.648
La: 0.561 0.526 0.352
Tb: 0.818 0.479 0.886
Tb: 0.182 0.521 0.114
Tb: 0.657 0.152 0.533
Tb: 0.343 0.848 0.467
Tm: 0.041 0.125 0.794
Tm: 0.959 0.875 0.206
Tm: 0.600 0.828 0.973
Tm: 0.400 0.172 0.027
Tm: 0.737 0.820 0.706
Tm: 0.263 0.180 0.294

As for the space-group type: No. 12. The formation energy is 118.6 meV per atom. The energy above the lowest structure with this stoichiometry comes out at 0.56 eV per formula unit.

***

Record 4
## LiSmAl (PBE)

Data for LiSmAl after structural relaxation.

Cell: 6.974 5.398 3.226 Å, 89.99 90.00 39.39°
Atoms (fractional coordinates):
Li: 0.500 0.500 0.000
Sm: 0.000 0.500 0.000
Al: 0.000 0.000 0.500

As for the space-group type: No. 10. The formation energy is 95.6 meV per atom. The energy above the lowest structure with this stoichiometry comes out at 0.88 eV per formula unit.

***

Record 5
## LaSc2PdS (PBE)

Data for LaSc2PdS after structural relaxation.

Cell: 4.919 5.971 4.919 Å, 90.00 90.00 90.00°
Atoms (fractional coordinates):
Sc: 0.000 0.000 0.500
Sc: 0.500 0.000 0.000
S: 0.500 0.500 0.500
Pd: 0.000 0.000 0.000
La: 0.000 0.500 0.000

As for the space-group type: No. 123. The uncorrected formation energy comes out at -310.4 meV/atom.

***

Record 6
## SrGaO2 (PBE)

Data for SrGaO2 after structural relaxation.

Cell: 6.497 6.497 6.497 Å, 33.45 33.45 33.45°
Atoms (fractional coordinates):
Sr: 0.500 0.500 0.500
O: 0.902 0.902 0.902
O: 0.098 0.098 0.098
Ga: 0.000 0.000 0.000

As for the space-group type: No. 166. The uncorrected formation energy comes out at -1881.6 meV/atom.

***

Record 7
## CaSiSN2 (PBE)

Data for CaSiSN2 after structural relaxation.

Cell: 3.666 3.666 5.054 Å, 90.00 90.00 90.00°
Site moments in Bohr magnetons follow the coordinates.
Atoms (fractional coordinates):
Ca: 0.500 0.500 0.500  0.00
Si: 0.000 0.000 0.000  -0.01
S: 0.000 0.000 0.500  0.08
N: 0.000 0.500 0.000  0.24
N: 0.500 0.000 0.000  0.24

As for the space-group type: No. 123. The uncorrected formation energy comes out at -263.4 meV/atom. The energy above the lowest structure with this stoichiometry comes out at 0.00 eV per formula unit.

***

Record 8
## Pm6YTm2Th (PBE)

Data for Pm6YTm2Th after structural relaxation.

Cell: 9.623 8.850 8.850 Å, 116.37 93.71 93.71°
Atoms (fractional coordinates):
Pm: 0.058 0.110 0.764
Pm: 0.442 0.236 0.890
Pm: 0.942 0.890 0.236
Pm: 0.558 0.764 0.110
Pm: 0.315 0.989 0.428
Pm: 0.185 0.572 0.011
Pm: 0.685 0.011 0.572
Pm: 0.815 0.428 0.989
Pm: 0.118 0.705 0.484
Pm: 0.382 0.516 0.295
Pm: 0.882 0.295 0.516
Pm: 0.618 0.484 0.705
Y: 0.250 0.409 0.591
Y: 0.750 0.591 0.409
Tm: 0.449 0.798 0.705
Tm: 0.051 0.295 0.202
Tm: 0.551 0.202 0.295
Tm: 0.949 0.705 0.798
Th: 0.250 0.968 0.032
Th: 0.750 0.032 0.968

As for the space-group type: No. 15. The formation energy is 141.7 meV per atom.

***

Record 9
## Pr6Y3Er2Tm (PBE)

Data for Pr6Y3Er2Tm after structural relaxation.

Cell: 6.303 6.303 11.863 Å, 95.07 95.07 119.99°
Atoms (fractional coordinates):
Pr: 0.917 0.584 0.752
Pr: 0.750 0.750 0.248
Pr: 0.083 0.416 0.248
Pr: 0.584 0.917 0.752
Pr: 0.250 0.250 0.752
Pr: 0.416 0.083 0.248
Y: 0.167 0.833 0.500
Y: 0.833 0.167 0.500
Y: 0.500 0.500 0.500
Er: 0.333 0.667 0.000
Er: 0.667 0.333 0.000
Tm: 0.000 0.000 0.000

As for the space-group type: No. 12. The formation energy is 10.9 meV per atom.

***

Record 10
## CrPtPb3 (PBE)

Data for CrPtPb3 after structural relaxation.

Cell: 5.143 5.143 5.143 Å, 90.00 90.00 90.00°
Site moments in Bohr magnetons follow the coordinates.
Atoms (fractional coordinates):
Pb: 0.000 0.500 0.000  -0.05
Pb: 0.000 0.000 0.500  -0.04
Pb: 0.500 0.000 0.000  -0.09
Cr: 0.000 0.000 0.000  2.00
Pt: 0.500 0.500 0.500  0.16

As for the space-group type: No. 221. The formation energy is 672.1 meV per atom. The energy above the lowest structure with this stoichiometry comes out at 0.00 eV per formula unit.

***

Record 11
## CsSr2Cd2Sn2 (PBE)

Data for CsSr2Cd2Sn2 after structural relaxation.

Cell: 5.210 5.210 11.741 Å, 77.18 77.18 60.00°
Atoms (fractional coordinates):
Cs: 0.000 0.000 0.000
Sr: 0.134 0.134 0.599
Sr: 0.866 0.866 0.401
Cd: 0.576 0.576 0.272
Cd: 0.424 0.424 0.728
Sn: 0.756 0.756 0.732
Sn: 0.244 0.244 0.268

As for the space-group type: No. 166. The formation energy is -355.7 meV per atom.

***

Record 12
## Rb10Te4Br (PBE)

Data for Rb10Te4Br after structural relaxation.

Cell: 6.102 6.102 25.221 Å, 83.05 83.05 60.00°
Atoms (fractional coordinates):
Rb: 0.948 0.948 0.156
Rb: 0.150 0.150 0.550
Rb: 0.549 0.549 0.352
Rb: 0.352 0.352 0.945
Rb: 0.751 0.751 0.747
Rb: 0.648 0.648 0.055
Rb: 0.850 0.850 0.450
Rb: 0.249 0.249 0.253
Rb: 0.052 0.052 0.844
Rb: 0.451 0.451 0.648
Te: 0.401 0.401 0.798
Te: 0.800 0.800 0.599
Te: 0.200 0.200 0.401
Te: 0.599 0.599 0.202
Br: 0.000 0.000 0.000

As for the space-group type: No. 166. The uncorrected formation energy comes out at -995.7 meV/atom.

***

Record 13
## Ti4Al3Mo2 (PBE)

Data for Ti4Al3Mo2 after structural relaxation.

Cell: 3.358 5.179 9.152 Å, 75.34 89.98 71.09°
Atoms (fractional coordinates):
Ti: 0.678 0.643 0.878
Ti: 0.017 0.966 0.328
Ti: 0.983 0.034 0.672
Ti: 0.322 0.357 0.122
Al: 0.333 0.333 0.440
Al: 0.000 0.000 0.000
Al: 0.667 0.667 0.560
Mo: 0.329 0.340 0.772
Mo: 0.671 0.660 0.228

As for the space-group type: No. 12. The formation energy is -273.2 meV per atom.

***

Record 14
## PdPtPb2 (PBE)

Data for PdPtPb2 after structural relaxation.

Cell: 3.539 6.749 8.911 Å, 118.53 101.37 89.94°
Atoms (fractional coordinates):
Pd: 0.740 0.733 0.051
Pd: 0.921 0.827 0.420
Pt: 0.202 0.002 0.975
Pt: 0.459 0.558 0.496
Pb: 0.375 0.082 0.326
Pb: 0.078 0.521 0.735
Pb: 0.582 0.038 0.736
Pb: 0.286 0.478 0.145

As for the space-group type: No. 2. The formation energy is -149.0 meV per atom. The energy above the lowest structure with this stoichiometry comes out at 0.00 eV per formula unit.

***

Record 15
## CrAgW2 (PBE)

Data for CrAgW2 after structural relaxation.

Cell: 5.139 5.139 5.139 Å, 143.66 129.20 64.06°
Atoms (fractional coordinates):
Ag: 0.750 0.250 0.500
Cr: 0.250 0.750 0.500
W: 0.021 0.021 0.000
W: 0.479 0.479 0.000

As for the space-group type: No. 71. The formation energy is 543.9 meV per atom. The energy above the lowest structure with this stoichiometry comes out at 0.63 eV per formula unit.

***

Record 16
## Ge3SeO (PBE)

Data for Ge3SeO after structural relaxation.

Cell: 5.159 5.159 5.159 Å, 90.00 90.00 90.00°
Atoms (fractional coordinates):
Ge: 0.000 0.500 0.000
Ge: 0.000 0.000 0.500
Ge: 0.500 0.000 0.000
O: 0.500 0.500 0.500
Se: 0.000 0.000 0.000

As for the space-group type: No. 221. The uncorrected formation energy comes out at 1100.2 meV/atom. The energy above the lowest structure with this stoichiometry comes out at 5.26 eV per formula unit.

***

Record 17
## NaHfGe (PBE)

Data for NaHfGe after structural relaxation.

Cell: 4.457 4.457 8.908 Å, 75.51 75.51 60.00°
Site moments in Bohr magnetons follow the coordinates.
Atoms (fractional coordinates):
Hf: 0.295 0.295 0.115  0.28
Hf: 0.705 0.705 0.885  0.28
Na: 0.131 0.131 0.608  0.00
Na: 0.869 0.869 0.392  0.00
Ge: 0.406 0.406 0.781  -0.02
Ge: 0.594 0.594 0.219  -0.02

As for the space-group type: No. 166. The formation energy is -34.3 meV per atom.

***

Record 18
## Tm8FeCu2 (PBE)

Data for Tm8FeCu2 after structural relaxation.

Cell: 5.024 6.555 8.781 Å, 107.08 106.62 90.00°
Atoms (fractional coordinates):
Tm: 0.409 0.567 0.819
Tm: 0.665 0.972 0.329
Tm: 0.802 0.685 0.603
Tm: 0.969 0.203 0.937
Tm: 0.198 0.315 0.397
Tm: 0.335 0.028 0.671
Tm: 0.591 0.433 0.181
Tm: 0.031 0.797 0.063
Fe: 0.500 0.000 0.000
Cu: 0.816 0.285 0.632
Cu: 0.184 0.715 0.368

As for the space-group type: No. 12. The formation energy is -91.9 meV per atom. The energy above the lowest structure with this stoichiometry comes out at 0.00 eV per formula unit.

***

Record 19
## CuSbSN2 (PBE)

Data for CuSbSN2 after structural relaxation.

Cell: 3.925 3.925 4.737 Å, 90.00 90.00 90.00°
Site moments in Bohr magnetons follow the coordinates.
Atoms (fractional coordinates):
Sb: 0.500 0.500 0.500  -0.13
S: 0.000 0.000 0.500  0.15
Cu: 0.000 0.000 0.000  0.22
N: 0.000 0.500 0.000  0.84
N: 0.500 0.000 0.000  0.84

As for the space-group type: No. 123. The uncorrected formation energy comes out at 1356.1 meV/atom. The energy above the lowest structure with this stoichiometry comes out at 0.00 eV per formula unit.

***

Record 20
## YZrZn2 (PBE)

Data for YZrZn2 after structural relaxation.

Cell: 3.216 3.216 8.061 Å, 90.00 90.00 90.00°
Atoms (fractional coordinates):
Y: 0.500 0.500 0.771
Zn: 0.000 0.000 0.042
Zn: 0.500 0.500 0.224
Zr: 0.000 0.000 0.463

As for the space-group type: No. 99. The formation energy is -120.9 meV per atom.

***

Record 21
## CuHSe (PBE)

Data for CuHSe after structural relaxation.

Cell: 2.932 3.921 9.876 Å, 78.87 97.98 90.00°
Atoms (fractional coordinates):
Cu: 0.228 0.271 0.458
Cu: 0.772 0.729 0.542
H: 0.434 0.471 0.030
H: 0.566 0.529 0.970
Se: 0.840 0.158 0.690
Se: 0.160 0.842 0.310

As for the space-group type: No. 2. The energy above the lowest structure with this stoichiometry comes out at 0.00 eV per formula unit.

***

Record 22
## LaPr2Hg (PBE)

Data for LaPr2Hg after structural relaxation.

Cell: 3.773 3.773 11.292 Å, 80.43 80.43 60.02°
Atoms (fractional coordinates):
La: 0.500 0.500 0.501
Pr: 0.074 0.074 0.777
Pr: 0.259 0.259 0.222
Hg: 0.667 0.667 0.000

As for the space-group type: No. 8. The formation energy is -133.6 meV per atom. The energy above the lowest structure with this stoichiometry comes out at 0.41 eV per formula unit.

***

Record 23
## AsPd2Au (PBE)

Data for AsPd2Au after structural relaxation.

Cell: 3.337 5.601 7.438 Å, 90.00 90.00 107.06°
Atoms (fractional coordinates):
As: 0.076 0.274 0.985
As: 0.585 0.285 0.485
Pd: 0.466 0.052 0.193
Pd: 0.194 0.508 0.693
Pd: 0.466 0.052 0.778
Pd: 0.194 0.508 0.278
Au: 0.794 0.709 0.985
Au: 0.867 0.850 0.485

As for the space-group type: No. 11. The formation energy is -227.4 meV per atom.

***

Record 24
## NaTl4In4 (PBE)

Data for NaTl4In4 after structural relaxation.

Cell: 6.934 6.934 11.908 Å, 90.00 90.00 90.00°
Atoms (fractional coordinates):
Na: 0.000 0.000 0.000
Na: 0.500 0.500 0.500
Tl: 0.220 0.500 0.932
Tl: 0.780 0.500 0.932
Tl: 0.500 0.780 0.068
Tl: 0.500 0.220 0.068
Tl: 0.000 0.720 0.432
Tl: 0.000 0.280 0.432
Tl: 0.280 0.000 0.568
Tl: 0.720 0.000 0.568
In: 0.500 0.766 0.778
In: 0.500 0.234 0.778
In: 0.766 0.500 0.222
In: 0.234 0.500 0.222
In: 0.266 0.000 0.278
In: 0.734 0.000 0.278
In: 0.000 0.266 0.722
In: 0.000 0.734 0.722

As for the space-group type: No. 137. The formation energy is 81.6 meV per atom. The energy above the lowest structure with this stoichiometry comes out at 0.98 eV per formula unit.